A plane-wave DFT calculation with PBE+U was carried out for an optimized crystal structure of LiMnCO4.

Computed properties:
M_tot (Bohr magnetons per cell): 16.00
Total DFT energy (no corrections) (eV for the cell shown): -200.5

Structure (CIF):
```
data_LiMnCO4
_cell_length_a 3.707
_cell_length_b 9.487
_cell_length_c 10.227
_cell_angle_alpha 90.00
_cell_angle_beta 111.13
_cell_angle_gamma 90.00
_symmetry_space_group_name_H-M 'P 1 21/c 1'
_symmetry_Int_Tables_number 14
_symmetry_space_group_name_Hall '-P 2ybc'
loop_
_atom_site_label
_atom_site_type_symbol
_atom_site_fract_x
_atom_site_fract_y
_atom_site_fract_z
_atom_site_occupancy
Li1 Li 0.164 0.159 0.413 1
Mn1 Mn 0.156 0.574 0.406 1
C1 C 0.107 0.645 0.857 1
O1 O 0.029 0.741 0.279 1
O2 O 0.050 0.523 0.799 1
O3 O 0.241 0.661 0.991 1
O4 O 0.285 0.085 0.035 1
```